Entry 1:
Computed, not measured: a geometry-optimized PaFe4 structure at the GGA-PBE level of DFT.

Unit cell a=4.529 b=4.529 c=4.529 alpha=90.00 beta=90.00 gamma=90.00
Space group Pm-3m (No. 221)
Symmetry-distinct sites (fractional):
Pa  0.000  0.000  0.000 (multiplicity 1)
Fe  0.000  0.000  0.500 (multiplicity 3)
Fe  0.500  0.500  0.500 (multiplicity 1)

Values from the calculation:
* energy of formation: 7.2 eV/f.u.
* calculated volume: 18.58 A^3/atom
* mass density: 8.123 g/cm³
* total magnetization: 7.06 μB/cell
* DOS at the Fermi energy: 6.8 states/eV per cell

Entry 2:
Computed, not measured: a geometry-optimized Rb2MgSn structure at the GGA-PBE level of DFT.

Unit cell a=14.287 b=14.287 c=5.375 alpha=90.00 beta=90.00 gamma=90.00
Space group I-42d (No. 122)
Symmetry-distinct sites (fractional):
Rb  0.051  0.250  0.125 (multiplicity 8)
Mg  0.000  0.000  0.500 (multiplicity 4)
Sn  0.000  0.000  0.000 (multiplicity 4)

Values from the calculation:
* energy of formation: 0.2 eV/f.u.
* calculated volume: 68.57 A^3/atom
* mass density: 1.901 g/cm³
* total magnetization: 0.00 μB/cell
* DOS at the Fermi energy: 3.5 states/eV per cell

Entry 3:
Computed, not measured: a geometry-optimized SrLuHgAu structure at the GGA-PBE level of DFT.

Unit cell a=7.473 b=7.473 c=7.473 alpha=90.00 beta=90.00 gamma=90.00
Space group F-43m (No. 216)
Symmetry-distinct sites (fractional):
Sr  0.000  0.000  0.000 (multiplicity 4)
Lu  0.000  0.000  0.500 (multiplicity 4)
Hg  0.250  0.250  0.250 (multiplicity 4)
Au  0.250  0.250  0.750 (multiplicity 4)

Values from the calculation:
* energy of formation: -2.2 eV/f.u.
* calculated volume: 26.09 A^3/atom
* mass density: 10.505 g/cm³
* total magnetization: 0.00 μB/cell
* DOS at the Fermi energy: 10.0 states/eV per cell

| no. | total DFT energy (no corrections) (Ha/atom) |
| --- | --- |
| 1 | -0.26572 |
| 2 | -0.06730 |
| 3 | -0.10981 |